First-principles (GGA-PBE) data for an optimized crystal structure of Sm3Er2Hg2, as listed in Alexandria via LeMat-Bulk.

Results
- E_tot: -3.649 eV per atom
- ΔH_f (0 K): -0.236 eV per atom
- Magnetization: 0.00 μB per cell
- ΔE to the lowest computed polymorph: 0.000 eV per atom

Geometry as CIF:
```
data_Sm3Er2Hg2
_symmetry_space_group_name_H-M 'C 1 2/m 1'
_symmetry_Int_Tables_number 12
_symmetry_space_group_name_Hall '-C 2y'
_cell_length_a 9.341
_cell_length_b 5.400
_cell_length_c 8.567
_cell_angle_alpha 90.00
_cell_angle_beta 111.37
_cell_angle_gamma 90.00
loop_
_atom_site_label
_atom_site_fract_x
_atom_site_fract_y
_atom_site_fract_z
Sm1 0.000 0.000 0.000
Sm2 0.159 0.000 0.476
Er1 0.074 0.500 0.723
Hg1 0.212 0.500 0.136
```

***

First-principles (GGA-PBE) data for an optimized crystal structure of SmEr3Hg, as listed in Alexandria via LeMat-Bulk.

Results
- E_tot: -3.853 eV per atom
- ΔH_f (0 K): -0.111 eV per atom
- Magnetization: 0.00 μB per cell

Geometry as CIF:
```
data_SmEr3Hg
_symmetry_space_group_name_H-M 'C 1 2/m 1'
_symmetry_Int_Tables_number 12
_symmetry_space_group_name_Hall '-C 2y'
_cell_length_a 11.166
_cell_length_b 7.298
_cell_length_c 7.899
_cell_angle_alpha 90.00
_cell_angle_beta 110.71
_cell_angle_gamma 90.00
loop_
_atom_site_label
_atom_site_fract_x
_atom_site_fract_y
_atom_site_fract_z
Sm1 0.059 0.000 0.237
Er1 0.061 0.500 0.244
Er2 0.160 0.251 0.640
Hg1 0.240 0.500 0.000
```

***

First-principles (GGA-PBE) data for an optimized crystal structure of Sm3ErHg, as listed in Alexandria via LeMat-Bulk.

Results
- E_tot: -3.886 eV per atom
- ΔH_f (0 K): -0.082 eV per atom
- Magnetization: 0.00 μB per cell
- ΔE to the lowest computed polymorph: 0.019 eV per atom

Geometry as CIF:
```
data_Sm3ErHg
_symmetry_space_group_name_H-M 'C 1 2/m 1'
_symmetry_Int_Tables_number 12
_symmetry_space_group_name_Hall '-C 2y'
_cell_length_a 21.950
_cell_length_b 3.592
_cell_length_c 8.265
_cell_angle_alpha 90.00
_cell_angle_beta 106.29
_cell_angle_gamma 90.00
loop_
_atom_site_label
_atom_site_fract_x
_atom_site_fract_y
_atom_site_fract_z
Sm1 0.013 0.000 0.244
Sm2 0.120 0.500 0.045
Sm3 0.175 0.000 0.449
Er1 0.234 0.500 0.821
Hg1 0.083 0.500 0.611
```

***

First-principles (GGA-PBE) data for an optimized crystal structure of Sm3Er2Hg7, as listed in Alexandria via LeMat-Bulk.

Results
- E_tot: -2.438 eV per atom
- ΔH_f (0 K): -0.322 eV per atom
- Magnetization: 0.00 μB per cell

Geometry as CIF:
```
data_Sm3Er2Hg7
_symmetry_space_group_name_H-M 'C m m m'
_symmetry_Int_Tables_number 65
_symmetry_space_group_name_Hall '-C 2 2'
_cell_length_a 5.174
_cell_length_b 22.945
_cell_length_c 5.532
_cell_angle_alpha 90.00
_cell_angle_beta 90.00
_cell_angle_gamma 90.00
loop_
_atom_site_label
_atom_site_fract_x
_atom_site_fract_y
_atom_site_fract_z
Sm1 0.000 0.000 0.000
Sm2 0.000 0.170 0.000
Er1 0.000 0.357 0.500
Hg1 0.000 0.076 0.500
Hg2 0.000 0.224 0.500
Hg3 0.000 0.413 0.000
Hg4 0.000 0.500 0.500
```

***

First-principles (GGA-PBE) data for an optimized crystal structure of SmEr2Hg3, as listed in Alexandria via LeMat-Bulk.

Results
- E_tot: -2.935 eV per atom
- ΔH_f (0 K): -0.477 eV per atom
- Magnetization: 0.53 μB per cell

Geometry as CIF:
```
data_SmEr2Hg3
_symmetry_space_group_name_H-M 'P 4/m m m'
_symmetry_Int_Tables_number 123
_symmetry_space_group_name_Hall '-P 4 2'
_cell_length_a 3.718
_cell_length_b 3.718
_cell_length_c 11.234
_cell_angle_alpha 90.00
_cell_angle_beta 90.00
_cell_angle_gamma 90.00
loop_
_atom_site_label
_atom_site_fract_x
_atom_site_fract_y
_atom_site_fract_z
Sm1 0.000 0.000 0.000
Er1 0.000 0.000 0.337
Hg1 0.500 0.500 0.177
Hg2 0.500 0.500 0.500
```

***

First-principles (GGA-PBE) data for an optimized crystal structure of Sm3ErHg12, as listed in Alexandria via LeMat-Bulk.

Results
- E_tot: -1.725 eV per atom
- ΔH_f (0 K): -0.329 eV per atom
- Magnetization: 0.00 μB per cell

Geometry as CIF:
```
data_Sm3ErHg12
_symmetry_space_group_name_H-M 'P 4/m m m'
_symmetry_Int_Tables_number 123
_symmetry_space_group_name_Hall '-P 4 2'
_cell_length_a 4.571
_cell_length_b 4.571
_cell_length_c 19.249
_cell_angle_alpha 90.00
_cell_angle_beta 90.00
_cell_angle_gamma 90.00
loop_
_atom_site_label
_atom_site_fract_x
_atom_site_fract_y
_atom_site_fract_z
Sm1 0.000 0.000 0.000
Sm2 0.000 0.000 0.252
Er1 0.000 0.000 0.500
Hg1 0.000 0.500 0.126
Hg2 0.000 0.500 0.378
Hg3 0.500 0.500 0.000
Hg4 0.500 0.500 0.252
Hg5 0.500 0.500 0.500
```

***

| no. | ρ (g/cm3) |
| --- | --- |
| 1 | 9.8 |
| 2 | 9.4 |
| 3 | 8.7 |
| 4 | 11.1 |
| 5 | 11.6 |
| 6 | 12.5 |